VASP calculation (PBE-GGA) on crystalline Ce2Br3 at its relaxed geometry.

Cell lengths 7.806, 7.222, 7.833 Å; angles 74.38, 60.11, 57.28 degrees
Element x y z (fractional)
Br 0.943 0.651 0.888
Br 0.582 0.151 0.612
Br 0.155 0.000 0.000
Br 0.483 0.349 0.112
Br 0.905 0.500 0.500
Br 0.344 0.849 0.388
Ce 0.760 0.400 0.250
Ce 0.910 0.100 0.750
Ce 0.759 0.900 0.250
Ce 0.409 0.600 0.750

Summary:
Space-group type: Fdd2, No. 43
Raw formation energy: -1.272 eV/atom
N(E_F): 28.08 states/eV per cell
Volume: 32.21 A^3/atom
Size of the total moment: 0.7033 μB per atom



VASP calculation (PBE-GGA) on crystalline BaCoSi2Se at its relaxed geometry.

Cell lengths 4.923, 5.979, 4.923 Å; angles 90.00, 90.00, 90.00 degrees
Element x y z (fractional)
Se 0.000 0.000 0.000
Co 0.500 0.500 0.500
Si 0.000 0.000 0.500
Si 0.500 0.000 0.000
Ba 0.000 0.500 0.000

Summary:
Space-group type: P4/mmm, No. 123
Raw formation energy: 0.928 eV/atom
N(E_F): 11.89 states/eV per cell
Volume: 28.99 A^3/atom
Size of the total moment: 0.3910 μB per atom



VASP calculation (PBE-GGA) on crystalline Pm8In2Pb at its relaxed geometry.

Cell lengths 5.011, 8.281, 9.122 Å; angles 109.83, 105.94, 90.00 degrees
Element x y z (fractional)
Pm 0.320 0.064 0.641
Pm 0.856 0.793 0.712
Pm 0.680 0.936 0.359
Pm 0.946 0.271 0.892
Pm 0.144 0.207 0.288
Pm 0.054 0.729 0.108
Pm 0.403 0.548 0.806
Pm 0.597 0.452 0.194
In 0.224 0.649 0.448
In 0.776 0.351 0.552
Pb 0.500 0.000 0.000

Summary:
Space-group type: C2/m, No. 12
E_form: -0.276 eV/atom
N(E_F): 12.41 states/eV per cell
Volume: 30.96 A^3/atom
Size of the total moment: 0.0000 μB per atom



VASP calculation (PBE-GGA) on crystalline KZr2Cu at its relaxed geometry.

Cell lengths 5.158, 5.158, 5.158 Å; angles 60.00, 60.00, 60.00 degrees
Element x y z (fractional)
Zr 0.250 0.250 0.250
Zr 0.000 0.000 0.000
Cu 0.500 0.500 0.500
K 0.750 0.750 0.750

Summary:
Space-group type: F-43m, No. 216
Polymorph energy (0 for the lowest one): 766.6 meV/atom
E_form: 1.004 eV/atom
N(E_F): 4.86 states/eV per cell
Volume: 24.26 A^3/atom
Size of the total moment: 0.8780 μB per atom



VASP calculation (PBE-GGA) on crystalline Sr2GaNiN at its relaxed geometry.

Cell lengths 5.517, 5.517, 3.576 Å; angles 90.00, 90.00, 90.00 degrees
Element x y z (fractional)
Sr 0.500 0.000 0.000
Sr 0.000 0.500 0.000
Ni 0.000 0.000 0.500
N 0.000 0.000 0.000
Ga 0.500 0.500 0.500

Summary:
Space-group type: P4/mmm, No. 123
Raw formation energy: -0.390 eV/atom
N(E_F): 4.72 states/eV per cell
Volume: 21.77 A^3/atom
Size of the total moment: 0.0000 μB per atom



VASP calculation (PBE-GGA) on crystalline Y4SiHg at its relaxed geometry.

Cell lengths 6.196, 6.196, 6.196 Å; angles 60.00, 60.00, 60.00 degrees
Element x y z (fractional)
Y 0.374 0.877 0.374
Y 0.877 0.374 0.374
Y 0.374 0.374 0.877
Y 0.374 0.374 0.374
Si 0.000 0.000 0.000
Hg 0.750 0.750 0.750

Summary:
Space-group type: F-43m, No. 216
Raw formation energy: 0.423 eV/atom
N(E_F): 5.69 states/eV per cell
Volume: 28.03 A^3/atom
Size of the total moment: 0.0000 μB per atom



VASP calculation (PBE-GGA) on crystalline La12Pm2Ho5 at its relaxed geometry.

Cell lengths 11.844, 8.911, 9.559 Å; angles 70.13, 90.00, 131.65 degrees
Element x y z (fractional)
La 0.526 0.573 0.812
La 0.364 0.209 0.593
La 0.047 0.573 0.812
La 0.436 0.872 0.774
La 0.564 0.128 0.226
La 0.100 0.199 0.078
La 0.900 0.801 0.922
La 0.636 0.791 0.407
La 0.474 0.427 0.188
La 0.845 0.209 0.593
La 0.155 0.791 0.407
La 0.953 0.427 0.188
Pm 0.714 0.000 0.000
Pm 0.286 0.000 0.000
Ho 0.696 0.392 0.767
Ho 0.000 0.000 0.500
Ho 0.783 0.566 0.362
Ho 0.217 0.434 0.638
Ho 0.304 0.608 0.233

Summary:
Space-group type: C2/m, No. 12
E_form: 0.101 eV/atom
N(E_F): 30.00 states/eV per cell
Volume: 35.34 A^3/atom
Size of the total moment: 0.0000 μB per atom